Record 1
First-principles (meta-GGA SCAN) data for a crystal of ZrScN3 relaxed with PBEsol, as listed in Alexandria via LeMat-Bulk. Values from VASP.

## Properties
**E_form (uncorrected)**: -0.311 eV/atom
**Space-group type**: No. 221
**Density**: 4310 kg/m3

Cell and atoms, written as Quantum ESPRESSO input:
```
&SYSTEM
  ibrav = 0, nat = 5, ntyp = 3
/
ATOMIC_SPECIES
N 14.01 N.upf
Sc 44.96 Sc.upf
Zr 91.22 Zr.upf
CELL_PARAMETERS angstrom
4.095 0.000 0.000
0.000 4.095 0.000
0.000 0.000 4.095
ATOMIC_POSITIONS angstrom
N 0.000 2.047 0.000
N 2.047 0.000 0.000
N 0.000 0.000 2.047
Sc 2.047 2.047 2.047
Zr 0.000 0.000 0.000
```


Record 2
First-principles (meta-GGA SCAN) data for a crystal of CdIrRh2 relaxed with PBEsol, as listed in Alexandria via LeMat-Bulk. Values from VASP.

## Properties
**Calculated formation energy**: -43 meV/atom
**Space-group type**: No. 123
**Density**: 14320 kg/m3

Cell and atoms, written as Quantum ESPRESSO input:
```
&SYSTEM
  ibrav = 0, nat = 4, ntyp = 3
/
ATOMIC_SPECIES
Rh 102.91 Rh.upf
Ir 192.22 Ir.upf
Cd 112.41 Cd.upf
CELL_PARAMETERS angstrom
-1.450 2.312 -0.341
-0.455 0.114 2.710
6.522 4.225 0.918
ATOMIC_POSITIONS angstrom
Rh 4.759 3.083 0.670
Rh 1.763 1.142 0.248
Ir 2.308 3.326 1.643
Cd -0.953 1.213 1.184
```